The following is a PBE-GGA calculation of a relaxed NaNbF6 crystal, from OQMD via LeMat-Bulk.

Cell and atoms, written as CIF:
```
data_NaNbF6
_cell_length_a 4.8721
_cell_length_b 4.8721
_cell_length_c 13.4503
_cell_angle_alpha 90.00
_cell_angle_beta 90.00
_cell_angle_gamma 120.00
_space_group_name_H-M_alt 'R -3'
_space_group_IT_number 148
_space_group_name_Hall '-R 3'
loop_
_atom_site_label
_atom_site_type_symbol
_atom_site_fract_x
_atom_site_fract_y
_atom_site_fract_z
Na1 Na 0.0000 0.0000 0.0000
Nb1 Nb 0.0000 0.0000 0.5000
F1 F 0.0080 0.3708 0.9140
```

## Properties
volume	92.17	Å³/f.u.
calculated density	4.142	g/cm3
electronic total energy	-0.42156	Ry per atom